The following is a PBE calculation of SrMo2Rh2 after structural relaxation, from Alexandria.

a b c (Å): 4.645 4.645 5.737
angles (deg): 66.11 66.11 90.00
Element x y z (fractional)
1 Rh 0.750 0.250 0.500
2 Rh 0.250 0.750 0.500
3 Sr 0.000 0.000 0.000
4 Mo 0.370 0.370 0.261
5 Mo 0.630 0.630 0.739

Results
For the volume, the calculation gives 101.5 Å³/cell. The space-group type is No. 139. The value obtained for the magnetic moment is 0.000 μB/atom. As for the energy: -0.2719 Ha/atom. For the theoretical density, the calculation gives 7.9 g cm⁻³.

=====

The following is a PBE calculation of SrMo2Rh after structural relaxation, from Alexandria.

a b c (Å): 5.613 5.613 5.613
angles (deg): 146.92 123.73 66.85
Element x y z (fractional)
1 Rh 0.527 0.527 0.000
2 Sr 0.250 0.750 0.500
3 Mo 0.959 0.959 0.000
4 Mo 0.764 0.264 0.500

Results
For the volume, the calculation gives 79.3 Å³/cell. The space-group type is No. 44. The value obtained for the magnetic moment is 0.000 μB/atom. The relative energy among the computed polymorphs is 277 meV/atom. For the theoretical density, the calculation gives 8.0 g cm⁻³.

=====

The following is a PBE calculation of SrMo2Rh after structural relaxation, from Alexandria.

a b c (Å): 5.719 5.719 2.812
angles (deg): 82.23 82.23 123.50
Element x y z (fractional)
1 Sr 0.000 0.500 0.500
2 Mo 0.500 0.500 0.000
3 Mo 0.000 0.000 0.000
4 Rh 0.500 0.000 0.500

Results
For the volume, the calculation gives 73.5 Å³/cell. The space-group type is No. 12. The value obtained for the magnetic moment is 0.000 μB/atom. The relative energy among the computed polymorphs is 379 meV/atom. For the theoretical density, the calculation gives 8.6 g cm⁻³.

=====

The following is a PBE calculation of SrMo2Rh after structural relaxation, from Alexandria.

a b c (Å): 4.698 4.682 4.698
angles (deg): 119.99 120.10 90.01
Element x y z (fractional)
1 Sr 0.750 0.250 0.500
2 Mo 0.000 0.001 0.001
3 Mo 0.250 0.750 0.500
4 Rh 0.500 0.499 0.999

Results
For the volume, the calculation gives 73.0 Å³/cell. The space-group type is No. 160. The value obtained for the magnetic moment is 0.000 μB/atom. The relative energy among the computed polymorphs is 326 meV/atom. For the theoretical density, the calculation gives 8.7 g cm⁻³.

=====

The following is a PBE calculation of SrMo2Rh after structural relaxation, from Alexandria.

a b c (Å): 5.016 5.016 2.882
angles (deg): 90.00 90.00 90.00
Element x y z (fractional)
1 Mo 0.500 0.500 0.000
2 Mo 0.000 0.000 0.000
3 Sr 0.000 0.500 0.500
4 Rh 0.500 0.000 0.500

Results
For the volume, the calculation gives 72.5 Å³/cell. The space-group type is No. 123. The value obtained for the magnetic moment is 0.000 μB/atom. The relative energy among the computed polymorphs is 730 meV/atom. For the theoretical density, the calculation gives 8.8 g cm⁻³.

=====

The following is a PBE calculation of SrMo2Rh after structural relaxation, from Alexandria.

a b c (Å): 3.070 3.747 7.396
angles (deg): 90.00 90.00 90.00
Element x y z (fractional)
1 Sr 0.500 0.500 0.750
2 Mo 0.000 0.000 0.090
3 Mo 0.000 0.000 0.410
4 Rh 0.500 0.500 0.250

Results
For the volume, the calculation gives 85.1 Å³/cell. The space-group type is No. 47. The value obtained for the magnetic moment is 0.000 μB/atom. The relative energy among the computed polymorphs is 234 meV/atom. For the theoretical density, the calculation gives 7.5 g cm⁻³.

=====

Number 3 is which compound? SrMo2Rh